No. 1
Entry from the Alexandria database: crystalline NdErRe at its relaxed geometry (PBE-GGA).

Output
M_tot	0.00	μB per formula unit
SG	P-1
ΔE_f	0.180	eV/atom
N(E_F)	4.219	states/eV/cell
DFT total energy	-7.08	eV per atom

Cell and atoms, written as extended XYZ:
```
6
Lattice="3.275 0.105 0.998 -0.394 5.261 0.751 2.593 -2.114 9.429" Properties=species:S:1:pos:R:3 pbc="T T T"
Nd 4.991 2.059 9.944
Nd 0.483 1.192 1.234
Er 3.001 3.565 4.523
Er 2.473 -0.313 6.655
Re 1.392 0.851 4.199
Re 4.082 2.401 6.979
```

No. 2
Entry from the Alexandria database: crystalline NdEr5Rh6 at its relaxed geometry (PBE-GGA).

Output
M_tot	0.00	μB per formula unit
SG	P2/m
ΔE_f	-0.878	eV/atom
N(E_F)	7.165	states/eV/cell
DFT total energy	-6.85	eV per atom

Cell and atoms, written as extended XYZ:
```
12
Lattice="4.550 -0.027 1.521 0.037 6.933 0.012 -0.002 -0.014 7.611" Properties=species:S:1:pos:R:3 pbc="T T T"
Rh 2.285 1.778 0.763
Rh 3.789 1.730 3.839
Rh 3.808 5.149 3.846
Rh 0.778 1.744 5.298
Rh 2.301 5.114 8.380
Rh 0.796 5.162 5.304
Er 1.508 -0.014 3.067
Er 0.019 3.467 0.006
Er 3.040 -0.027 6.064
Er 1.533 3.453 3.055
Er 3.053 3.439 6.089
Nd 0.000 0.000 0.000
```

No. 3
Entry from the Alexandria database: crystalline NdEr4Rh4 at its relaxed geometry (PBE-GGA).

Output
M_tot	0.00	μB per formula unit
SG	P4_2/n
ΔE_f	-0.668	eV/atom
N(E_F)	12.172	states/eV/cell
DFT total energy	-6.49	eV per atom

Cell and atoms, written as extended XYZ:
```
18
Lattice="5.573 0.000 0.000 0.000 8.863 0.000 0.000 0.000 8.863" Properties=species:S:1:pos:R:3 pbc="T T T"
Er 3.264 0.829 2.893
Er 2.309 5.970 0.829
Er 0.477 7.324 3.602
Er 5.096 5.260 7.324
Er 2.309 2.893 8.034
Er 0.477 1.539 5.260
Er 3.264 8.034 5.970
Er 5.096 3.602 1.539
Nd 0.000 0.000 0.000
Nd 2.787 4.431 4.431
Rh 3.273 1.887 5.579
Rh 5.087 6.319 1.147
Rh 5.087 2.544 7.715
Rh 0.487 7.715 6.319
Rh 2.300 3.284 1.887
Rh 2.300 5.579 6.976
Rh 0.487 1.147 2.544
Rh 3.273 6.976 3.284
```

No. 4
Entry from the Alexandria database: crystalline Nd3ErRh4 at its relaxed geometry (PBE-GGA).

Output
M_tot	0.00	μB per formula unit
SG	P4/mmm
ΔE_f	-0.694	eV/atom
N(E_F)	6.377	states/eV/cell
DFT total energy	-6.73	eV per atom

Cell and atoms, written as extended XYZ:
```
8
Lattice="-1.046 -1.505 2.937 -1.934 -2.217 -1.825 11.115 -9.111 -0.711" Properties=species:S:1:pos:R:3 pbc="T T T"
Er -1.490 -1.861 0.556
Nd 6.898 -8.737 0.019
Nd 4.067 -6.417 0.200
Nd 1.237 -4.097 0.381
Rh 1.273 -1.044 -0.081
Rh 9.842 -8.068 -0.630
Rh 6.975 -5.717 -0.446
Rh 4.141 -3.394 -0.265
```

No. 5
Entry from the Alexandria database: crystalline Nd2ErRh at its relaxed geometry (PBE-GGA).

Output
M_tot	0.00	μB per formula unit
SG	R-3m
ΔE_f	-0.055	eV/atom
N(E_F)	5.474	states/eV/cell
DFT total energy	-5.42	eV per atom

Cell and atoms, written as extended XYZ:
```
4
Lattice="-0.380 -0.762 3.601 2.573 -2.004 1.749 6.010 7.990 4.227" Properties=species:S:1:pos:R:3 pbc="T T T"
Nd 4.285 5.077 3.428
Nd 3.919 0.148 6.149
Rh 4.102 2.612 4.789
Er 0.000 0.000 0.000
```

No. 6
Entry from the Alexandria database: crystalline Nd2ErRh3 at its relaxed geometry (PBE-GGA).

Output
M_tot	0.00	μB per formula unit
SG	Immm
ΔE_f	-0.541	eV/atom
N(E_F)	1.264	states/eV/cell
DFT total energy	-6.57	eV per atom

Cell and atoms, written as extended XYZ:
```
6
Lattice="4.228 0.000 0.000 0.000 5.696 0.000 -2.114 -2.848 5.823" Properties=species:S:1:pos:R:3 pbc="T T T"
Nd 0.000 2.848 3.835
Nd 2.114 0.000 1.988
Rh 0.000 0.000 4.091
Rh 2.114 2.848 1.732
Rh 0.000 0.000 0.000
Er 0.000 2.848 0.000
```

No. 7
Entry from the Alexandria database: crystalline Nd2Er3Rh2 at its relaxed geometry (PBE-GGA).

Output
M_tot	0.00	μB per formula unit
SG	C2/m
ΔE_f	-0.568	eV/atom
N(E_F)	7.301	states/eV/cell
DFT total energy	-5.99	eV per atom

Cell and atoms, written as extended XYZ:
```
7
Lattice="-0.554 -2.980 2.236 1.583 -2.251 -5.779 6.921 2.603 5.184" Properties=species:S:1:pos:R:3 pbc="T T T"
Er -0.277 -1.490 1.118
Er 4.939 -1.377 -0.610
Er 3.011 -1.252 2.251
Nd 1.942 -3.502 -1.014
Nd 6.008 0.874 2.654
Rh 2.127 -0.645 -0.332
Rh 5.822 -1.983 1.972
```

No. 8
Entry from the Alexandria database: crystalline Nd2ErRh at its relaxed geometry (PBE-GGA).

Output
M_tot	0.00	μB per formula unit
SG	Pnma
ΔE_f	-0.455	eV/atom
N(E_F)	17.349	states/eV/cell
DFT total energy	-5.82	eV per atom

Cell and atoms, written as extended XYZ:
```
16
Lattice="-2.294 4.509 -3.814 -5.994 0.400 4.079 4.306 6.964 5.643" Properties=species:S:1:pos:R:3 pbc="T T T"
Nd -2.437 9.859 6.067
Nd -1.546 2.014 -0.159
Nd -1.394 7.807 1.337
Nd -4.026 7.289 3.985
Nd -2.588 4.066 4.571
Nd 0.195 10.378 3.420
Nd 0.043 4.584 1.924
Nd -4.177 1.496 2.489
Rh 1.230 7.759 2.629
Rh -2.678 9.749 3.154
Rh -1.305 2.124 2.755
Rh -5.213 4.115 3.280
Er -0.339 6.980 4.787
Er -3.644 4.894 1.122
Er -1.099 5.582 -1.670
Er -2.884 6.291 7.579
```

No. 9
Entry from the Alexandria database: crystalline Nd3ErRh at its relaxed geometry (PBE-GGA).

Output
M_tot	0.04	μB per formula unit
SG	Pm-3m
ΔE_f	-0.093	eV/atom
N(E_F)	9.541	states/eV/cell
DFT total energy	-5.34	eV per atom

Cell and atoms, written as extended XYZ:
```
5
Lattice="5.563 0.000 0.000 0.000 5.563 0.000 0.000 0.000 5.563" Properties=species:S:1:pos:R:3 pbc="T T T"
Nd 0.000 0.000 2.782
Nd 0.000 2.782 0.000
Nd 2.782 0.000 0.000
Er 2.782 2.782 2.782
Rh 0.000 0.000 0.000
```

No. 10
Entry from the Alexandria database: crystalline Nd2ErRh3 at its relaxed geometry (PBE-GGA).

Output
M_tot	0.00	μB per formula unit
SG	Cmmm
ΔE_f	-0.725	eV/atom
N(E_F)	8.908	states/eV/cell
DFT total energy	-6.75	eV per atom

Cell and atoms, written as extended XYZ:
```
12
Lattice="-0.398 -4.368 -2.180 1.809 -5.492 5.172 -6.812 -0.371 1.988" Properties=species:S:1:pos:R:3 pbc="T T T"
Nd -2.467 -6.757 2.984
Nd 0.000 0.000 0.000
Nd -2.935 -3.475 1.996
Nd -3.406 -0.186 0.994
Rh -1.330 -5.580 0.418
Rh -4.072 -4.652 4.563
Rh -1.850 -2.274 -0.608
Rh -4.915 -5.775 1.464
Rh -0.487 -4.457 3.516
Rh -5.360 -2.465 0.416
Er 0.934 -6.563 1.975
Er 0.477 -3.298 1.018
```

No. 11
Entry from the Alexandria database: crystalline Nd2ErRh at its relaxed geometry (PBE-GGA).

Output
M_tot	0.00	μB per formula unit
SG	Pnna
ΔE_f	-0.365	eV/atom
N(E_F)	15.121	states/eV/cell
DFT total energy	-5.73	eV per atom

Cell and atoms, written as extended XYZ:
```
16
Lattice="6.425 0.000 0.000 0.000 6.706 -0.003 0.000 0.006 11.507" Properties=species:S:1:pos:R:3 pbc="T T T"
Nd 4.780 6.101 6.760
Nd 4.859 6.103 10.496
Nd 1.646 0.611 4.744
Nd 4.779 2.747 4.743
Nd 1.646 3.965 6.761
Nd 4.858 2.745 1.008
Nd 1.566 0.609 1.009
Nd 1.567 3.967 10.496
Er 4.819 6.217 2.875
Er 1.607 0.495 8.630
Er 1.606 3.845 2.875
Er 4.819 2.867 8.629
Rh 0.000 5.032 4.707
Rh 3.213 1.682 10.462
Rh 3.213 5.030 1.042
Rh 6.425 1.680 6.797
```

No. 12
Entry from the Alexandria database: crystalline NdEr3Rh2 at its relaxed geometry (PBE-GGA).

Output
M_tot	0.00	μB per formula unit
SG	C2/m
ΔE_f	-0.593	eV/atom
N(E_F)	10.004	states/eV/cell
DFT total energy	-6.12	eV per atom

Cell and atoms, written as extended XYZ:
```
12
Lattice="4.261 0.000 0.000 2.131 8.016 0.628 2.131 2.654 9.850" Properties=species:S:1:pos:R:3 pbc="T T T"
Er 6.392 8.311 2.257
Er 2.131 2.358 8.220
Er 6.392 7.909 5.689
Er 2.131 2.760 4.789
Er 2.131 2.900 1.145
Er 6.392 7.769 9.333
Rh 4.261 8.404 3.967
Rh 2.131 5.700 1.191
Rh 4.261 2.265 6.510
Rh 6.392 4.969 9.287
Nd 4.261 5.566 3.224
Nd 4.261 5.103 7.254
```